# 1
Below is crystalline Sc4C at its relaxed geometry, with properties calculated at the GGA-PBE level.

Unit cell a=4.9745 b=4.9745 c=4.9745 alpha=109.47 beta=109.47 gamma=109.47
Sites, in units of the cell vectors:
C (0.0000, 0.0000, 0.0000)
Sc (0.5000, 0.0000, 0.0000)
Sc (0.0000, 0.0000, 0.5000)
Sc (0.5000, 0.5000, 0.5000)
Sc (0.0000, 0.5000, 0.0000)

Computed properties:
polymorph energy (0 for the lowest one) = 0.4288 eV/atom
formation energy from the elements = 0.245 eV/atom
symmetry = Im-3m

=====

# 2
Below is crystalline CrNi3 at its relaxed geometry, with properties calculated at the GGA-PBE level.

Unit cell a=4.3640 b=4.3640 c=2.4794 alpha=90.00 beta=90.00 gamma=110.45
Sites, in units of the cell vectors:
Ni (0.0000, 0.5000, 0.5000)
Ni (0.5000, 0.5000, 0.0000)
Ni (0.5000, 0.0000, 0.5000)
Cr (0.0000, 0.0000, 0.0000)

Computed properties:
formation energy from the elements = 0.074 eV/atom
symmetry = Cmmm

=====

What is the formation energy from the elements in the second record?
0.074 eV/atom

=====

Among the records above, which one has the highest formation energy from the elements?
Sc4C

=====

The lowest formation energy from the elements belongs to which entry?
CrNi3